(1)
GGA-PBE TbTm12Co6, relaxed; ρ = 9.44 g/cm3; calculated formation energy = -0.1628 eV per atom
1.0
-4.816 4.816 4.816
4.816 -4.816 4.816
4.816 4.816 -4.816
Tb Tm Co
1 12 6
direct
0.000 0.000 0.000
0.115 0.807 0.308
0.193 0.308 0.502
0.193 0.692 0.885
0.308 0.115 0.807
0.308 0.502 0.193
0.498 0.807 0.692
0.502 0.193 0.308
0.692 0.498 0.807
0.692 0.885 0.193
0.807 0.308 0.115
0.807 0.692 0.498
0.885 0.193 0.692
0.114 0.614 0.500
0.386 0.500 0.886
0.500 0.114 0.614
0.500 0.886 0.386
0.614 0.500 0.114
0.886 0.386 0.500

***

(2)
GGA-PBE Tb4Tm3Co2, relaxed; ρ = 8.79 g/cm3; calculated formation energy = -0.1146 eV per atom
1.0
8.135 -1.792 0.000
8.135 1.792 0.000
-3.469 0.000 8.164
Tb Tm Co
4 3 2
direct
0.132 0.132 0.391
0.272 0.272 0.852
0.728 0.728 0.148
0.868 0.868 0.609
0.428 0.428 0.306
0.500 0.500 0.000
0.572 0.572 0.694
0.118 0.118 0.936
0.882 0.882 0.064

***

(3)
GGA-PBE TbTm4Co2, relaxed; ρ = 9.21 g/cm3; calculated formation energy = -0.1100 eV per atom
1.0
7.351 0.000 0.000
0.000 6.300 0.000
-3.350 0.000 7.416
Tb Tm Co
2 8 4
direct
0.222 0.250 0.218
0.778 0.750 0.782
0.006 0.250 0.761
0.302 0.750 0.001
0.313 0.000 0.610
0.313 0.500 0.610
0.687 0.000 0.390
0.687 0.500 0.390
0.698 0.250 0.999
0.994 0.750 0.239
0.012 0.750 0.616
0.379 0.750 0.363
0.621 0.250 0.637
0.988 0.250 0.384

***

(4)
GGA-PBE Tb3TmCo, relaxed; ρ = 8.42 g/cm3; calculated formation energy = -0.1077 eV per atom
1.0
5.766 -4.153 0.000
5.766 4.153 0.000
-5.686 0.000 5.806
Tb Tm Co
6 2 2
direct
0.048 0.048 0.340
0.048 0.453 0.208
0.453 0.048 0.208
0.547 0.952 0.792
0.952 0.547 0.792
0.952 0.952 0.660
0.453 0.453 0.750
0.547 0.547 0.250
0.250 0.250 0.869
0.750 0.750 0.131

***

(5)
GGA-PBE TbTm3Co, relaxed; ρ = 8.63 g/cm3; calculated formation energy = -0.0833 eV per atom
1.0
3.597 -4.999 0.000
3.597 4.999 0.000
0.000 0.000 7.750
Tb Tm Co
2 6 2
direct
0.237 0.763 0.750
0.763 0.237 0.250
0.240 0.760 0.250
0.257 0.257 0.000
0.257 0.257 0.500
0.743 0.743 0.000
0.743 0.743 0.500
0.760 0.240 0.750
0.500 0.500 0.250
0.500 0.500 0.750

***

(6)
GGA-PBE TbTm3Co, relaxed; ρ = 8.60 g/cm3; calculated formation energy = -0.0672 eV per atom
1.0
-3.873 5.034 3.590
3.873 -5.034 3.590
3.873 5.034 -3.590
Tb Tm Co
2 6 2
direct
0.253 0.003 0.250
0.747 0.997 0.750
0.241 0.000 0.741
0.241 0.500 0.241
0.256 0.506 0.750
0.744 0.494 0.250
0.759 0.000 0.259
0.759 0.500 0.759
0.500 0.000 0.000
0.500 0.500 0.500

***

(7)
GGA-PBE Tb3TmCo, relaxed; ρ = 8.73 g/cm3; calculated formation energy = -0.0092 eV per atom
1.0
7.741 0.000 0.000
0.000 7.281 0.000
-2.909 0.000 9.516
Tb Tm Co
12 4 4
direct
0.082 0.203 0.029
0.082 0.297 0.529
0.286 0.006 0.381
0.286 0.494 0.881
0.416 0.628 0.607
0.416 0.872 0.107
0.584 0.128 0.893
0.584 0.372 0.393
0.714 0.506 0.119
0.714 0.994 0.619
0.918 0.703 0.471
0.918 0.797 0.971
0.191 0.554 0.255
0.191 0.946 0.755
0.809 0.054 0.245
0.809 0.446 0.745
0.453 0.244 0.610
0.453 0.256 0.110
0.547 0.744 0.890
0.547 0.756 0.390

***

(8)
GGA-PBE TbTmCo, relaxed; ρ = 9.15 g/cm3; calculated formation energy = -0.1325 eV per atom
1.0
-1.674 1.674 6.265
1.674 -1.674 6.265
1.674 1.674 -6.265
Tb Tm Co
1 1 1
direct
0.000 0.000 0.000
0.257 0.257 0.000
0.632 0.632 0.000

***

(9)
GGA-PBE TbTmCo10, relaxed; ρ = 9.26 g/cm3; calculated formation energy = -0.1167 eV per atom
1.0
3.947 0.000 0.000
0.000 4.903 0.000
0.000 0.000 8.502
Tb Tm Co
1 1 10
direct
0.000 0.000 0.000
0.000 0.500 0.500
0.000 0.000 0.336
0.000 0.000 0.664
0.000 0.500 0.170
0.000 0.500 0.830
0.500 0.000 0.500
0.500 0.251 0.252
0.500 0.251 0.748
0.500 0.500 0.000
0.500 0.749 0.252
0.500 0.749 0.748

***

(10)
GGA-PBE TbTmCo, relaxed; ρ = 8.17 g/cm3; calculated formation energy = -0.0580 eV per atom
1.0
3.848 0.000 0.000
-1.924 3.332 0.000
0.000 0.000 6.133
Tb Tm Co
1 1 1
direct
0.000 0.000 0.000
0.333 0.667 0.466
0.667 0.333 0.236

***

(11)
GGA-PBE Tb3Tm4Co4, relaxed; ρ = 9.55 g/cm3; calculated formation energy = -0.1230 eV per atom
1.0
-1.806 4.336 7.702
1.806 -4.336 7.702
1.806 4.336 -7.702
Tb Tm Co
3 4 4
direct
0.000 0.000 0.000
0.396 0.896 0.500
0.604 0.104 0.500
0.019 0.334 0.686
0.352 0.666 0.686
0.648 0.334 0.314
0.981 0.666 0.314
0.250 0.250 0.000
0.286 0.500 0.786
0.714 0.500 0.214
0.750 0.750 0.000

***

(12)
GGA-PBE TbTmCo, relaxed; ρ = 9.14 g/cm3; calculated formation energy = -0.1302 eV per atom
1.0
6.494 -1.673 0.000
6.494 1.673 0.000
-1.738 0.000 6.471
Tb Tm Co
2 2 2
direct
0.129 0.129 0.066
0.871 0.871 0.934
0.128 0.128 0.563
0.872 0.872 0.437
0.499 0.499 0.255
0.501 0.501 0.745

***

(13)
GGA-PBE TbTm3Co, relaxed; ρ = 8.53 g/cm3; calculated formation energy = -0.0412 eV per atom
1.0
5.205 0.000 0.000
0.000 5.205 0.000
0.000 0.000 5.205
Tb Tm Co
1 3 1
direct
0.000 0.000 0.000
0.000 0.500 0.500
0.500 0.000 0.500
0.500 0.500 0.000
0.500 0.500 0.500

***

(14)
GGA-PBE TbTm4Co, relaxed; ρ = 8.05 g/cm3; calculated formation energy = 0.2396 eV per atom
1.0
4.595 0.000 0.000
0.000 4.595 0.000
0.000 0.000 8.733
Tb Tm Co
1 4 1
direct
0.000 0.000 0.000
0.000 0.500 0.319
0.000 0.500 0.681
0.500 0.000 0.319
0.500 0.000 0.681
0.500 0.500 0.500

***

(15)
GGA-PBE TbTmCo, relaxed; ρ = 8.67 g/cm3; calculated formation energy = -0.1543 eV per atom
1.0
5.616 0.000 0.000
0.000 3.751 0.000
-0.796 0.000 7.035
Tb Tm Co
2 2 2
direct
0.186 0.250 0.326
0.814 0.750 0.674
0.343 0.250 0.837
0.657 0.750 0.163
0.135 0.750 0.043
0.865 0.250 0.957

***

(16)
GGA-PBE TbTmCo, relaxed; ρ = 8.96 g/cm3; calculated formation energy = -0.0703 eV per atom
1.0
0.000 3.297 3.297
3.297 0.000 3.297
3.297 3.297 0.000
Tb Tm Co
1 1 1
direct
0.000 0.000 0.000
0.500 0.500 0.500
0.750 0.750 0.750

***

(17)
GGA-PBE Tb2Tm2Co, relaxed; ρ = 8.74 g/cm3; calculated formation energy = -0.0799 eV per atom
1.0
3.679 -5.737 0.000
3.679 5.737 0.000
-2.840 0.000 6.433
Tb Tm Co
4 4 2
direct
0.185 0.732 0.744
0.268 0.815 0.256
0.732 0.185 0.744
0.815 0.268 0.256
0.243 0.243 0.600
0.273 0.273 0.113
0.727 0.727 0.887
0.757 0.757 0.400
0.382 0.618 0.500
0.618 0.382 0.500

***

(18)
GGA-PBE Tb3Tm2Co2, relaxed; ρ = 9.03 g/cm3; calculated formation energy = -0.1663 eV per atom
1.0
5.928 -1.837 0.000
5.928 1.837 0.000
-3.821 0.000 7.875
Tb Tm Co
3 2 2
direct
0.000 0.000 0.000
0.117 0.117 0.427
0.883 0.883 0.573
0.328 0.328 0.193
0.672 0.672 0.807
0.320 0.320 0.760
0.680 0.680 0.240

***

(19)
GGA-PBE TbTm3Co2, relaxed; ρ = 9.11 g/cm3; calculated formation energy = -0.1791 eV per atom
1.0
8.087 -1.861 0.000
8.087 1.861 0.000
-6.377 0.000 9.494
Tb Tm Co
2 6 4
direct
0.158 0.158 0.244
0.842 0.842 0.756
0.159 0.159 0.746
0.415 0.415 0.063
0.416 0.416 0.557
0.584 0.584 0.443
0.585 0.585 0.937
0.841 0.841 0.254
0.232 0.232 0.047
0.234 0.234 0.549
0.766 0.766 0.451
0.768 0.768 0.953

***

(20)
GGA-PBE TbTmCo4, relaxed; ρ = 10.27 g/cm3; calculated formation energy = -0.2240 eV per atom
1.0
0.000 3.572 3.572
3.572 0.000 3.572
3.572 3.572 0.000
Tb Tm Co
1 1 4
direct
0.000 0.000 0.000
0.250 0.250 0.250
0.126 0.625 0.625
0.625 0.126 0.625
0.625 0.625 0.126
0.625 0.625 0.625